Compound: TaCoCl
Source: Alexandria via LeMat-Bulk
Functional: GGA-PBE
Structure: relaxed

```
data_TaCoCl
_space_group_name_H-M_alt 'F -4 3 m'
_space_group_IT_number 216
_space_group_name_Hall 'F -4 2 3'
_cell_length_a 5.894
_cell_length_b 5.894
_cell_length_c 5.894
_cell_angle_alpha 90.00
_cell_angle_beta 90.00
_cell_angle_gamma 90.00
loop_
_atom_site_label
_atom_site_fract_x
_atom_site_fract_y
_atom_site_fract_z
Ta1 0.000 0.000 0.000
Co1 0.250 0.250 0.750
Cl1 0.000 0.000 0.500
```

Total moment: 0.00 μB per cell
Polymorph energy (0 for the lowest one): 852 meV per atom
Formation energy from raw total energies: 18.7 kcal/mol of atoms

Compound: SmAgF4
Source: Alexandria via LeMat-Bulk
Functional: GGA-PBE
Structure: relaxed

```
data_SmAgF4
_space_group_name_H-M_alt 'I 41 m d'
_space_group_IT_number 109
_space_group_name_Hall 'I 4bw -2'
_cell_length_a 7.646
_cell_length_b 7.646
_cell_length_c 7.704
_cell_angle_alpha 90.00
_cell_angle_beta 90.00
_cell_angle_gamma 90.00
loop_
_atom_site_label
_atom_site_fract_x
_atom_site_fract_y
_atom_site_fract_z
Sm1 0.000 0.000 0.000
Ag1 0.000 0.000 0.519
F1 0.000 0.202 0.223
F2 0.000 0.203 0.795
```

Total moment: 0.00 μB per cell
Polymorph energy (0 for the lowest one): 63 meV per atom
Formation energy from raw total energies: -68.9 kcal/mol of atoms

Compound: GaCuAg2O4
Source: Alexandria via LeMat-Bulk
Functional: GGA-PBE
Structure: relaxed

```
data_GaCuAg2O4
_space_group_name_H-M_alt 'C 1 2 1'
_space_group_IT_number 5
_cell_length_a 7.958
_cell_length_b 6.388
_cell_length_c 5.634
_cell_angle_alpha 90.00
_cell_angle_beta 134.85
_cell_angle_gamma 90.00
loop_
_space_group_symop_operation_xyz
'x,y,z'
'-x,y,-z'
'x+1/2,y+1/2,z'
'-x+1/2,y+1/2,-z'
loop_
_atom_site_label
_atom_site_fract_x
_atom_site_fract_y
_atom_site_fract_z
Ga1 0.000 0.000 0.000
Cu1 0.000 0.250 0.500
Ag1 0.000 0.500 0.000
Ag2 0.000 0.748 0.500
O1 0.157 0.188 0.363
O2 0.206 0.812 0.049
```

Total moment: 0.00 μB per cell
Formation energy from raw total energies: -15.1 kcal/mol of atoms

Compound: ThZr3Sc
Source: Alexandria via LeMat-Bulk
Functional: GGA-PBE
Structure: relaxed

```
data_ThZr3Sc
_space_group_name_H-M_alt 'C 1 2/m 1'
_space_group_IT_number 12
_cell_length_a 16.382
_cell_length_b 3.151
_cell_length_c 10.470
_cell_angle_alpha 90.00
_cell_angle_beta 108.11
_cell_angle_gamma 90.00
loop_
_space_group_symop_operation_xyz
'x,y,z'
'-x,-y,-z'
'-x,y,-z'
'x,-y,z'
'x+1/2,y+1/2,z'
'-x+1/2,-y+1/2,-z'
'-x+1/2,y+1/2,-z'
'x+1/2,-y+1/2,z'
loop_
_atom_site_label
_atom_site_fract_x
_atom_site_fract_y
_atom_site_fract_z
Th1 0.103 0.000 0.056
Zr1 0.007 0.500 0.247
Zr2 0.193 0.500 0.865
Zr3 0.198 0.000 0.369
Sc1 0.105 0.500 0.549
```

Total moment: 0.00 μB per cell
Energy relative to the elements: 226 meV/atom
Polymorph energy (0 for the lowest one): 190 meV per atom